[1]
Density functional theory data (GGA-PBE) for a relaxed structure of Sc2TaRh.

a b c (Å): 3.3125 4.5835 4.8163
angles (deg): 90.00 90.00 90.00
Space group Pmmm (No. 47)
Symmetry-distinct sites (fractional):
Sc (0.0000, 0.0000, 0.0000) [1 per cell]
Sc (0.5000, 0.0000, 0.5000) [1 per cell]
Ta (0.0000, 0.5000, 0.5000) [1 per cell]
Rh (0.5000, 0.5000, 0.0000) [1 per cell]

Excess energy over the best structure of this formula in the dataset in eV per atom: 0.2148
Calculated formation energy in kJ/mol of formula units: -58

=====

[2]
Density functional theory data (GGA-PBE) for a relaxed structure of Mn2FeSi.

a b c (Å): 3.8638 3.8638 11.5318
angles (deg): 90.00 90.00 120.00
Space group R3m (No. 160, hexagonal axes)
Symmetry-distinct sites (fractional):
Mn (0.0000, 0.0000, 0.0000) [3 per cell]
Mn (0.0000, 0.0000, 0.1916) [3 per cell]
Fe (0.0000, 0.0000, 0.4102) [3 per cell]
Si (0.0000, 0.0000, 0.6167) [3 per cell]

Raw formation energy in eV/atom: 0.0148

=====

[3]
Density functional theory data (GGA-PBE) for a relaxed structure of Nd4Zn3Cd.

a b c (Å): 3.7344 5.2718 10.5426
angles (deg): 90.00 90.00 90.00
Space group Pmmm (No. 47)
Symmetry-distinct sites (fractional):
Nd (0.0000, 0.0000, 0.0000) [1 per cell]
Nd (0.0000, 0.0000, 0.5000) [1 per cell]
Nd (0.0000, 0.5000, 0.2393) [2 per cell]
Zn (0.5000, 0.0000, 0.2497) [2 per cell]
Zn (0.5000, 0.5000, 0.0000) [1 per cell]
Cd (0.5000, 0.5000, 0.5000) [1 per cell]

Calculated formation energy in kJ/mol of formula units: -234

=====

[4]
Density functional theory data (GGA-PBE) for a relaxed structure of Ca2HoEr.

a b c (Å): 3.5620 3.5620 38.9420
angles (deg): 90.00 90.00 120.00
Space group R-3m (No. 166, hexagonal axes)
Symmetry-distinct sites (fractional):
Ca (0.0000, 0.0000, 0.0877) [6 per cell]
Ho (0.0000, 0.0000, 0.5000) [3 per cell]
Er (0.0000, 0.0000, 0.0000) [3 per cell]

Excess energy over the best structure of this formula in the dataset in eV per atom: 0.0788
Calculated formation energy in kJ/mol of formula units: 106

=====

Number 1: D(E_F) 1.42 states/eV/atom. Number 2: D(E_F) 0.78 states/eV/atom. Number 3: D(E_F) 1.13 states/eV/atom. Number 4: D(E_F) 1.81 states/eV/atom.